# Sm8YEr6 PBE-GGA relaxed
# * formation enthalpy at 0 K: 0.131 eV per atom
# * polymorph energy (0 for the lowest one): 0.000 eV/atom
# * D(E_F): 23.62 states/eV/f.u.
data_Sm8YEr6
_chemical_formula_sum 'Sm24 Y3 Er18'
_cell_length_a 9.0594
_cell_length_b 9.0594
_cell_length_c 20.7863
_cell_angle_alpha 90.00
_cell_angle_beta 90.00
_cell_angle_gamma 120.00
_symmetry_space_group_name_H-M 'R -3'
_symmetry_Int_Tables_number 148
_symmetry_space_group_name_Hall '-R 3'
loop_
_atom_site_label
_atom_site_type_symbol
_atom_site_fract_x
_atom_site_fract_y
_atom_site_fract_z
_atom_site_occupancy
Sm1 Sm 0.0000 0.0000 0.0774 1
Sm2 Sm 0.0812 0.5254 0.3073 1
Y1 Y 0.0000 0.0000 0.5000 1
Er1 Er 0.0492 0.8047 0.2058 1